A geometry-optimized Mg5Ir3 structure. Source: Alexandria via LeMat-Bulk, functional PBE-GGA.

a = 4.3926 Å, b = 5.5020 Å, c = 10.7622 Å
α = 90.00°, β = 90.00°, γ = 90.00°
Fractional coordinates of all 16 atoms:
Ir 0.5000 0.8337 0.3654
Ir 0.5000 0.1663 0.6346
Ir 0.5000 0.3337 0.1346
Ir 0.0000 0.5000 0.5000
Ir 0.5000 0.6663 0.8654
Ir 0.0000 0.0000 0.0000
Mg 0.0000 0.8871 0.7631
Mg 0.0000 0.1129 0.2369
Mg 0.0000 0.6129 0.2631
Mg 0.0000 0.5000 0.0000
Mg 0.5000 0.1700 0.8914
Mg 0.5000 0.8300 0.1086
Mg 0.0000 0.3871 0.7369
Mg 0.5000 0.6700 0.6086
Mg 0.0000 0.0000 0.5000
Mg 0.5000 0.3300 0.3914

Results
**Formation enthalpy at 0 K**: -2.244 eV per formula unit
**Space-group type**: No. 55
**Relative energy among the computed polymorphs**: 0.5 kJ per mole of atoms
**Volume**: 260.1 Å³ per cell


A geometry-optimized AcAlGa2Ni4 structure. Source: Alexandria via LeMat-Bulk, functional PBE-GGA.

a = 4.0997 Å, b = 4.0997 Å, c = 9.0539 Å
α = 76.91°, β = 76.91°, γ = 60.00°
Fractional coordinates of all 8 atoms:
Ga 0.2342 0.2342 0.2972
Ga 0.7658 0.7658 0.7028
Ni 0.5901 0.5901 0.2296
Ni 0.8647 0.8647 0.4059
Ni 0.1353 0.1353 0.5941
Ni 0.4099 0.4099 0.7704
Ac 0.0000 0.0000 0.0000
Al 0.5000 0.5000 0.5000

Results
**Formation enthalpy at 0 K**: -3.699 eV per formula unit
**Space-group type**: No. 166
**Volume**: 127.2 Å³ per cell


A geometry-optimized RbS4O structure. Source: Alexandria via LeMat-Bulk, functional PBE-GGA.

a = 19.2289 Å, b = 7.4528 Å, c = 10.7465 Å
α = 131.46°, β = 156.65°, γ = 65.12°
Fractional coordinates of all 12 atoms:
S 0.6735 0.8853 0.7087
S 0.0326 0.0042 0.7902
S 0.5188 0.6235 0.0013
S 0.7453 0.3936 0.4493
S 0.9674 0.9958 0.2098
S 0.3265 0.1147 0.2913
S 0.2547 0.6064 0.5507
S 0.4812 0.3765 0.9987
O 0.5718 0.7213 0.5899
O 0.4282 0.2787 0.4101
Rb 0.7512 0.4081 0.8191
Rb 0.2488 0.5919 0.1809

Results
**Space-group type**: No. 2
**Raw total energy**: -52.18 eV for the cell shown
**Volume**: 355.1 Å³ per cell


A geometry-optimized Ba3NaDy2Te6 structure. Source: Alexandria via LeMat-Bulk, functional PBE-GGA.

a = 8.1067 Å, b = 8.1067 Å, c = 8.2058 Å
α = 99.45°, β = 99.45°, γ = 119.99°
Fractional coordinates of all 12 atoms:
Te 0.4179 0.0732 0.2186
Te 0.9268 0.5821 0.7814
Te 0.0732 0.4179 0.2186
Te 0.7271 0.7271 0.2131
Te 0.2729 0.2729 0.7869
Te 0.5821 0.9268 0.7814
Dy 0.3322 0.6678 0.0000
Dy 0.6678 0.3322 0.0000
Na 0.0000 0.0000 0.0000
Ba 0.5000 0.5000 0.5000
Ba 0.8380 0.1620 0.5000
Ba 0.1620 0.8380 0.5000

Results
**Space-group type**: No. 12
**Raw total energy**: -53.31 eV for the cell shown
**Volume**: 441.2 Å³ per cell


A geometry-optimized Sr2Tl6AgRh structure. Source: Alexandria via LeMat-Bulk, functional PBE-GGA.

a = 7.4123 Å, b = 7.4123 Å, c = 13.2356 Å
α = 73.74°, β = 73.74°, γ = 60.00°
Fractional coordinates of all 20 atoms:
Tl 0.6563 0.6563 0.6022
Tl 0.2190 0.6654 0.8966
Tl 0.3437 0.9148 0.3978
Tl 0.3437 0.3437 0.3978
Tl 0.7810 0.3346 0.1034
Tl 0.2190 0.2190 0.8966
Tl 0.6563 0.0852 0.6022
Tl 0.9148 0.3437 0.3978
Tl 0.7810 0.7810 0.1034
Tl 0.6654 0.2190 0.8966
Tl 0.3346 0.7810 0.1034
Tl 0.0852 0.6563 0.6022
Ag 0.4245 0.4245 0.7265
Ag 0.5755 0.5755 0.2735
Rh 0.5000 0.5000 0.5000
Rh 0.0000 0.0000 0.0000
Sr 0.7180 0.7180 0.8460
Sr 0.8916 0.8916 0.3251
Sr 0.1084 0.1084 0.6749
Sr 0.2820 0.2820 0.1540

Results
**Formation enthalpy at 0 K**: -1.022 eV per formula unit
**Space-group type**: No. 166
**Volume**: 595.9 Å³ per cell


A geometry-optimized Ac2Ce3PmTe6 structure. Source: Alexandria via LeMat-Bulk, functional PBE-GGA.

a = 7.8801 Å, b = 7.8801 Å, c = 7.9961 Å
α = 99.47°, β = 99.47°, γ = 120.09°
Site moments in Bohr magnetons follow the coordinates.
Fractional coordinates of all 12 atoms:
Ce 0.8284 0.1716 0.5000  0.98
Ce 0.5000 0.5000 0.5000  0.98
Ce 0.1716 0.8284 0.5000  0.98
Ac 0.3346 0.6654 0.0000  0.00
Ac 0.6654 0.3346 0.0000  0.00
Te 0.4091 0.0850 0.2571  -0.01
Te 0.0850 0.4091 0.2571  -0.01
Te 0.2353 0.2353 0.7372  -0.01
Te 0.5909 0.9150 0.7429  -0.01
Te 0.9150 0.5909 0.7429  -0.01
Te 0.7647 0.7647 0.2628  -0.01
Pm 0.0000 0.0000 0.0000  -0.01

Results
**Space-group type**: No. 12
**Raw total energy**: -66.51 eV for the cell shown
**Volume**: 405.6 Å³ per cell


A geometry-optimized Mg2AlC2 structure. Source: Alexandria via LeMat-Bulk, functional PBE-GGA.

a = 6.8598 Å, b = 6.8598 Å, c = 2.6463 Å
α = 90.00°, β = 90.00°, γ = 90.00°
Fractional coordinates of all 10 atoms:
Mg 0.1332 0.3668 0.0000
Mg 0.6332 0.1332 0.0000
Mg 0.3668 0.8668 0.0000
Mg 0.8668 0.6332 0.0000
Al 0.0000 0.0000 0.0000
Al 0.5000 0.5000 0.0000
C 0.6730 0.8270 0.5000
C 0.1730 0.6730 0.5000
C 0.8270 0.3270 0.5000
C 0.3270 0.1730 0.5000

Results
**Formation enthalpy at 0 K**: 6.136 eV per formula unit
**Space-group type**: No. 127
**Relative energy among the computed polymorphs**: 0.0 kJ per mole of atoms
**Volume**: 124.5 Å³ per cell


A geometry-optimized Sr2ScAs structure. Source: Alexandria via LeMat-Bulk, functional PBE-GGA.

a = 9.9978 Å, b = 9.9978 Å, c = 9.9978 Å
α = 25.03°, β = 25.03°, γ = 25.03°
Site moments in Bohr magnetons follow the coordinates.
Fractional coordinates of all 4 atoms:
Sr 0.5253 0.5253 0.5253  0.04
Sr 0.9747 0.9747 0.9747  0.04
Sc 0.7500 0.7500 0.7500  0.89
As 0.2500 0.2500 0.2500  0.01

Results
**Formation enthalpy at 0 K**: -0.759 eV per formula unit
**Space-group type**: No. 166
**Volume**: 157.4 Å³ per cell


A geometry-optimized TmPaSn2 structure. Source: Alexandria via LeMat-Bulk, functional PBE-GGA.

a = 3.2889 Å, b = 3.2889 Å, c = 11.8758 Å
α = 82.04°, β = 82.04°, γ = 60.00°
Site moments in Bohr magnetons follow the coordinates.
Fractional coordinates of all 4 atoms:
Pa 0.0000 0.0000 0.0000  0.33
Sn 0.9095 0.9095 0.2715  0.01
Sn 0.0905 0.0905 0.7285  0.01
Tm 0.5000 0.5000 0.5000  0.04

Results
**Formation enthalpy at 0 K**: 0.241 eV per formula unit
**Space-group type**: No. 166
**Relative energy among the computed polymorphs**: 40.5 kJ per mole of atoms
**Volume**: 109.8 Å³ per cell


A geometry-optimized HoMg9Cd2 structure. Source: Alexandria via LeMat-Bulk, functional PBE-GGA.

a = 7.6855 Å, b = 9.3687 Å, c = 9.3687 Å
α = 80.31°, β = 65.78°, γ = 65.78°
Fractional coordinates of all 24 atoms:
Mg 0.7492 0.5789 0.8212
Mg 0.7492 0.8212 0.5789
Mg 0.3205 0.0789 0.6788
Mg 0.1494 0.1788 0.4211
Mg 0.0782 0.3212 0.9211
Mg 0.0782 0.9211 0.3212
Mg 0.1494 0.4211 0.1788
Mg 0.3205 0.6788 0.0789
Mg 0.0000 0.0000 0.0000
Mg 0.6718 0.5789 0.1788
Mg 0.6006 0.3212 0.0789
Mg 0.6718 0.1788 0.5789
Mg 0.0008 0.9211 0.6788
Mg 0.4295 0.8212 0.4211
Mg 0.0008 0.6788 0.9211
Mg 0.4295 0.4211 0.8212
Mg 0.7500 0.5000 0.5000
Mg 0.6006 0.0789 0.3212
Ho 0.5000 0.0000 0.0000
Ho 0.2500 0.5000 0.5000
Cd 0.8750 0.2500 0.7500
Cd 0.8750 0.7500 0.2500
Cd 0.3750 0.7500 0.7500
Cd 0.8750 0.2500 0.2500

Results
**Formation enthalpy at 0 K**: -0.448 eV per formula unit
**Space-group type**: No. 141
**Volume**: 561.1 Å³ per cell


A geometry-optimized Er2PtAu6 structure. Source: Alexandria via LeMat-Bulk, functional PBE-GGA.

a = 3.9834 Å, b = 7.0861 Å, c = 7.0167 Å
α = 111.94°, β = 106.49°, γ = 90.00°
Fractional coordinates of all 9 atoms:
Au 0.6048 0.1675 0.2096
Au 0.2718 0.1714 0.5436
Au 0.1661 0.5029 0.3322
Au 0.3952 0.8325 0.7904
Au 0.7282 0.8286 0.4564
Au 0.8339 0.4971 0.6678
Er 0.9404 0.1867 0.8808
Er 0.0596 0.8133 0.1192
Pt 0.5000 0.5000 0.0000

Results
**Formation enthalpy at 0 K**: -5.719 eV per formula unit
**Space-group type**: No. 12
**Volume**: 174.9 Å³ per cell


A geometry-optimized RuPtSe2 structure. Source: Alexandria via LeMat-Bulk, functional PBE-GGA.

a = 5.2451 Å, b = 5.2451 Å, c = 5.2451 Å
α = 137.13°, β = 137.13°, γ = 62.24°
Fractional coordinates of all 4 atoms:
Pt 0.5000 0.5000 0.0000
Ru 0.7500 0.2500 0.5000
Se 0.2500 0.7500 0.5000
Se 0.0000 0.0000 0.0000

Results
**Space-group type**: No. 119
**Relative energy among the computed polymorphs**: 49.1 kJ per mole of atoms
**Volume**: 66.0 Å³ per cell